Record 1
First-principles (SCAN) data for a crystal of ReI3 relaxed with PBEsol, as listed in Alexandria via LeMat-Bulk.

a b c (Å): 8.832 11.120 9.415
angles (deg): 90.00 108.38 90.00
Space group P2_1/m (No. 11)
Symmetry-distinct sites (fractional):
Re: 0.161 0.250 0.359 x2
Re: 0.165 0.138 0.137 x4
I: 0.125 0.750 0.618 x2
I: 0.153 0.591 0.983 x4
I: 0.158 0.004 0.379 x4
I: 0.160 0.250 0.877 x2
I: 0.445 0.250 0.544 x2
I: 0.469 0.088 0.196 x4

Properties
* crystal system: monoclinic



Record 2
First-principles (SCAN) data for a crystal of K2AsRh relaxed with PBEsol, as listed in Alexandria via LeMat-Bulk.

a b c (Å): 2.891 2.891 10.343
angles (deg): 90.00 90.00 90.00
Space group P4/mmm (No. 123)
Symmetry-distinct sites (fractional):
K: 0.000 0.000 0.249 x2
As: 0.500 0.500 0.500 x1
Rh: 0.500 0.500 0.000 x1

Properties
* formation energy from the elements: 30.1 kJ per mole of atoms
* crystal system: tetragonal
* DOS(E_F): 0.54 states/eV/atom



Record 3
First-principles (SCAN) data for a crystal of ZnAgIr2 relaxed with PBEsol, as listed in Alexandria via LeMat-Bulk.

a b c (Å): 5.362 9.184 2.705
angles (deg): 90.00 118.70 90.00
Space group C2/m (No. 12)
Symmetry-distinct sites (fractional):
Zn: 0.000 0.000 0.000 x2
Ag: 0.000 0.500 0.000 x2
Ir: 0.250 0.250 0.500 x4

Properties
* formation energy from the elements: 19.4 kJ per mole of atoms
* crystal system: monoclinic
* DOS(E_F): 0.85 states/eV/atom



| no. | final energy (eV per cell) |
| --- | --- |
| 1 | -1088.33 |
| 2 | -69.37 |
| 3 | -372.55 |